This record from Alexandria describes a relaxed TaCdInW2 crystal. The functional is PBE-GGA.

Summary:
For the formation energy from the elements, the calculation gives 2519 meV per atom. The symmetry is P4/mmm (123). Its total energy is -28.82 eV for the cell shown. The value obtained for the total moment is 0.000 μB per atom.

a b c (Å): 4.904 5.000 4.904
angles (deg): 90.00 90.00 90.00
Sites, in units of the cell vectors:
W (0.000, 0.000, 0.500)
W (0.500, 0.000, 0.000)
Ta (0.000, 0.500, 0.000)
In (0.000, 0.000, 0.000)
Cd (0.500, 0.500, 0.500)